# 1
This record from Alexandria via LeMat-Bulk describes BAsP3 after structural relaxation. The functional is PBE.

Results
DFT formation energy = 0.85 eV/atom

a = 4.157 Å, b = 4.157 Å, c = 4.157 Å
α = 90.00°, β = 90.00°, γ = 90.00°
Space group Pm-3m (No. 221)
Unique sites:
B: 0.000 0.000 0.000 (multiplicity 1)
As: 0.500 0.500 0.500 (multiplicity 1)
P: 0.000 0.000 0.500 (multiplicity 3)

# 2
This record from Alexandria via LeMat-Bulk describes BAs2P after structural relaxation. The functional is PBE.

Results
DFT formation energy = 0.38 eV/atom

a = 5.697 Å, b = 5.697 Å, c = 8.483 Å
α = 90.00°, β = 90.00°, γ = 90.00°
Space group I-42d (No. 122)
Unique sites:
B: 0.000 0.000 0.000 (multiplicity 4)
As: 0.192 0.250 0.125 (multiplicity 8)
P: 0.000 0.000 0.500 (multiplicity 4)